Sc2ZnPt | PBE | optimized geometry

a b c (Å): 4.527 4.527 8.567
angles (deg): 90.00 90.00 120.00
Positions (direct):
1 Sc 0.333 0.667 0.090
2 Sc 0.333 0.667 0.410
3 Sc 0.667 0.333 0.590
4 Sc 0.667 0.333 0.910
5 Zn 0.000 0.000 0.250
6 Zn 0.000 0.000 0.750
7 Pt 0.333 0.667 0.750
8 Pt 0.667 0.333 0.250

Values from the calculation:
For the magnetization, the calculation gives 0.1 μB/f.u. The calculation puts the calculated formation energy at -0.644 eV per atom. Its crystal system is hexagonal. The calculation puts the energy at -0.207 Ha/atom. Its calculated density is 7.7 Mg/m³.